Below is a relaxed YPPtO2 crystal, with properties calculated at the PBE level.

Its space-group type is P4/mmm, No. 123. The calculation puts the raw formation energy at -736 meV/atom. The calculation puts the excess energy over the best structure of this formula in the dataset at 0.000 eV/atom. Its density of states at the Fermi level is 5.30 states/eV per cell.

Unit cell a=4.063 b=4.063 c=4.762 alpha=90.00 beta=90.00 gamma=90.00
Each line ends with the local moment (μB).
Atoms (fractional coordinates):
Pt (0.000, 0.000, 0.000)  0.17
Y (0.500, 0.500, 0.500)  0.00
O (0.500, 0.000, 0.000)  0.06
O (0.000, 0.500, 0.000)  0.06
P (0.000, 0.000, 0.500)  0.01